# PBE CsBP2S, relaxed
data_CsBP2S
_cell_length_a 4.4430
_cell_length_b 4.4430
_cell_length_c 4.9654
_cell_angle_alpha 90.00
_cell_angle_beta 90.00
_cell_angle_gamma 90.00
_space_group_name_H-M_alt 'P 4/m m m'
_space_group_IT_number 123
_space_group_name_Hall '-P 4 2'
loop_
_atom_site_label
_atom_site_type_symbol
_atom_site_fract_x
_atom_site_fract_y
_atom_site_fract_z
_atom_site_occupancy
Cs1 Cs 0.0000 0.0000 0.0000 1
B1 B 0.5000 0.5000 0.5000 1
P1 P 0.0000 0.5000 0.5000 1
S1 S 0.5000 0.5000 0.0000 1
# Distance to the lowest polymorph of the same formula, eV/atom: 0.000
# Uncorrected formation energy, eV/atom: 0.8103

# PBE CsBP2S8, relaxed
data_CsBP2S8
_cell_length_a 14.2930
_cell_length_b 5.3350
_cell_length_c 10.4350
_cell_angle_alpha 90.00
_cell_angle_beta 105.85
_cell_angle_gamma 90.00
_space_group_name_H-M_alt 'C 1 2/m 1'
_space_group_IT_number 12
loop_
_space_group_symop_operation_xyz
'x,y,z'
'-x,-y,-z'
'-x,y,-z'
'x,-y,z'
'x+1/2,y+1/2,z'
'-x+1/2,-y+1/2,-z'
'-x+1/2,y+1/2,-z'
'x+1/2,-y+1/2,z'
loop_
_atom_site_label
_atom_site_type_symbol
_atom_site_fract_x
_atom_site_fract_y
_atom_site_fract_z
_atom_site_occupancy
Cs1 Cs 0.0000 0.0000 0.0000 1
B1 B 0.0000 0.0000 0.5000 1
P1 P 0.0549 0.5000 0.3115 1
S1 S 0.0831 0.5000 0.7822 1
S2 S 0.1043 0.2304 0.4770 1
S3 S 0.1561 0.5000 0.2171 1
# Uncorrected formation energy, eV/atom: -0.0928

# PBE CsBPS2, relaxed
data_CsBPS2
_cell_length_a 5.5652
_cell_length_b 5.5652
_cell_length_c 5.8855
_cell_angle_alpha 90.00
_cell_angle_beta 90.00
_cell_angle_gamma 90.00
_space_group_name_H-M_alt 'P 4/m m m'
_space_group_IT_number 123
_space_group_name_Hall '-P 4 2'
loop_
_atom_site_label
_atom_site_type_symbol
_atom_site_fract_x
_atom_site_fract_y
_atom_site_fract_z
_atom_site_occupancy
Cs1 Cs 0.0000 0.0000 0.0000 1
B1 B 0.5000 0.5000 0.5000 1
P1 P 0.0000 0.0000 0.5000 1
S1 S 0.0000 0.5000 0.0000 1
# Distance to the lowest polymorph of the same formula, eV/atom: 1.915
# Uncorrected formation energy, eV/atom: 2.3834

# PBE CsBPS2, relaxed
data_CsBPS2
_cell_length_a 5.0682
_cell_length_b 5.0682
_cell_length_c 4.0503
_cell_angle_alpha 90.00
_cell_angle_beta 90.00
_cell_angle_gamma 90.00
_space_group_name_H-M_alt 'P 4/m m m'
_space_group_IT_number 123
_space_group_name_Hall '-P 4 2'
loop_
_atom_site_label
_atom_site_type_symbol
_atom_site_fract_x
_atom_site_fract_y
_atom_site_fract_z
_atom_site_occupancy
Cs1 Cs 0.0000 0.0000 0.0000 1
B1 B 0.5000 0.5000 0.0000 1
P1 P 0.5000 0.5000 0.5000 1
S1 S 0.0000 0.5000 0.5000 1
# Distance to the lowest polymorph of the same formula, eV/atom: 0.000
# Uncorrected formation energy, eV/atom: 0.4687

# PBE CsBPSe6, relaxed
data_CsBPSe6
_cell_length_a 5.8598
_cell_length_b 6.3113
_cell_length_c 8.4075
_cell_angle_alpha 68.50
_cell_angle_beta 85.98
_cell_angle_gamma 81.50
_space_group_name_H-M_alt 'P 1'
_space_group_IT_number 1
loop_
_space_group_symop_operation_xyz
'x,y,z'
loop_
_atom_site_label
_atom_site_type_symbol
_atom_site_fract_x
_atom_site_fract_y
_atom_site_fract_z
_atom_site_occupancy
Cs1 Cs 0.0000 0.0000 0.0000 1
B1 B 0.3085 0.5525 0.5121 1
P1 P 0.7622 0.9242 0.4967 1
Se1 Se 0.0375 0.6391 0.6576 1
Se2 Se 0.2705 0.4389 0.3228 1
Se3 Se 0.4986 0.7965 0.3441 1
Se4 Se 0.5129 0.3309 0.7184 1
Se5 Se 0.5184 0.9522 0.7292 1
Se6 Se 0.8902 0.2601 0.3458 1
# Uncorrected formation energy, eV/atom: -0.2463

# PBE Cs2SrBP, relaxed
data_Cs2SrBP
_cell_length_a 7.6879
_cell_length_b 7.6879
_cell_length_c 3.7142
_cell_angle_alpha 90.00
_cell_angle_beta 90.00
_cell_angle_gamma 90.00
_space_group_name_H-M_alt 'P 4/m m m'
_space_group_IT_number 123
_space_group_name_Hall '-P 4 2'
loop_
_atom_site_label
_atom_site_type_symbol
_atom_site_fract_x
_atom_site_fract_y
_atom_site_fract_z
_atom_site_occupancy
Cs1 Cs 0.0000 0.5000 0.0000 1
Sr1 Sr 0.0000 0.0000 0.5000 1
B1 B 0.5000 0.5000 0.0000 1
P1 P 0.5000 0.5000 0.5000 1
# DFT formation energy, eV/atom: 0.570

# PBE Cs2PaB2S6, relaxed
data_Cs2PaB2S6
_cell_length_a 11.9389
_cell_length_b 6.8303
_cell_length_c 8.6212
_cell_angle_alpha 90.00
_cell_angle_beta 116.46
_cell_angle_gamma 90.00
_space_group_name_H-M_alt 'C 1 2/m 1'
_space_group_IT_number 12
loop_
_space_group_symop_operation_xyz
'x,y,z'
'-x,-y,-z'
'-x,y,-z'
'x,-y,z'
'x+1/2,y+1/2,z'
'-x+1/2,-y+1/2,-z'
'-x+1/2,y+1/2,-z'
'x+1/2,-y+1/2,z'
loop_
_atom_site_label
_atom_site_type_symbol
_atom_site_fract_x
_atom_site_fract_y
_atom_site_fract_z
_atom_site_occupancy
Cs1 Cs 0.2073 0.0000 0.1619 1
Pa1 Pa 0.0000 0.0000 0.5000 1
B1 B 0.0836 0.5000 0.3025 1
S1 S 0.0043 0.2712 0.7365 1
S2 S 0.2482 0.5000 0.3498 1
# Uncorrected formation energy, eV/atom: -0.9820

# PBE Cs2PaBS5, relaxed
data_Cs2PaBS5
_cell_length_a 4.1843
_cell_length_b 18.6262
_cell_length_c 15.1654
_cell_angle_alpha 90.00
_cell_angle_beta 90.00
_cell_angle_gamma 90.00
_space_group_name_H-M_alt 'C m c 21'
_space_group_IT_number 36
loop_
_space_group_symop_operation_xyz
'x,y,z'
'-x,-y,z+1/2'
'-x,y,z'
'x,-y,z+1/2'
'x+1/2,y+1/2,z'
'-x+1/2,-y+1/2,z+1/2'
'-x+1/2,y+1/2,z'
'x+1/2,-y+1/2,z+1/2'
loop_
_atom_site_label
_atom_site_type_symbol
_atom_site_fract_x
_atom_site_fract_y
_atom_site_fract_z
_atom_site_occupancy
Cs1 Cs 0.0000 0.1130 0.0000 1
Cs2 Cs 0.0000 0.1286 0.6835 1
Pa1 Pa 0.0000 0.1730 0.3742 1
B1 B 0.0000 0.4242 0.7346 1
S1 S 0.0000 0.0416 0.3270 1
S2 S 0.0000 0.3046 0.3492 1
S3 S 0.0000 0.3271 0.9841 1
S4 S 0.0000 0.3277 0.7475 1
S5 S 0.0000 0.4831 0.6469 1
# Uncorrected formation energy, eV/atom: -1.1111

# PBE CsB3Pb, relaxed
data_CsB3Pb
_cell_length_a 5.0509
_cell_length_b 5.0509
_cell_length_c 5.0509
_cell_angle_alpha 90.00
_cell_angle_beta 90.00
_cell_angle_gamma 90.00
_space_group_name_H-M_alt 'P m -3 m'
_space_group_IT_number 221
_space_group_name_Hall '-P 4 2 3'
loop_
_atom_site_label
_atom_site_type_symbol
_atom_site_fract_x
_atom_site_fract_y
_atom_site_fract_z
_atom_site_occupancy
Cs1 Cs 0.0000 0.0000 0.0000 1
B1 B 0.0000 0.5000 0.5000 1
Pb1 Pb 0.5000 0.5000 0.5000 1
# Distance to the lowest polymorph of the same formula, eV/atom: 0.000
# DFT formation energy, eV/atom: 2.181

# PBE CsB3Pb, relaxed
data_CsB3Pb
_cell_length_a 4.9691
_cell_length_b 4.9691
_cell_length_c 4.9691
_cell_angle_alpha 90.00
_cell_angle_beta 90.00
_cell_angle_gamma 90.00
_space_group_name_H-M_alt 'P m -3 m'
_space_group_IT_number 221
_space_group_name_Hall '-P 4 2 3'
loop_
_atom_site_label
_atom_site_type_symbol
_atom_site_fract_x
_atom_site_fract_y
_atom_site_fract_z
_atom_site_occupancy
Cs1 Cs 0.0000 0.0000 0.0000 1
B1 B 0.0000 0.0000 0.5000 1
Pb1 Pb 0.5000 0.5000 0.5000 1
# Distance to the lowest polymorph of the same formula, eV/atom: 0.835
# DFT formation energy, eV/atom: 3.016

# PBE CsBPb3, relaxed
data_CsBPb3
_cell_length_a 6.3691
_cell_length_b 6.3691
_cell_length_c 6.3691
_cell_angle_alpha 90.00
_cell_angle_beta 90.00
_cell_angle_gamma 90.00
_space_group_name_H-M_alt 'P m -3 m'
_space_group_IT_number 221
_space_group_name_Hall '-P 4 2 3'
loop_
_atom_site_label
_atom_site_type_symbol
_atom_site_fract_x
_atom_site_fract_y
_atom_site_fract_z
_atom_site_occupancy
Cs1 Cs 0.0000 0.0000 0.0000 1
B1 B 0.5000 0.5000 0.5000 1
Pb1 Pb 0.0000 0.0000 0.5000 1
# Distance to the lowest polymorph of the same formula, eV/atom: 1.544
# DFT formation energy, eV/atom: 2.161

# PBE CsBPb3, relaxed
data_CsBPb3
_cell_length_a 5.4350
_cell_length_b 5.4350
_cell_length_c 5.4350
_cell_angle_alpha 90.00
_cell_angle_beta 90.00
_cell_angle_gamma 90.00
_space_group_name_H-M_alt 'P m -3 m'
_space_group_IT_number 221
_space_group_name_Hall '-P 4 2 3'
loop_
_atom_site_label
_atom_site_type_symbol
_atom_site_fract_x
_atom_site_fract_y
_atom_site_fract_z
_atom_site_occupancy
Cs1 Cs 0.0000 0.0000 0.0000 1
B1 B 0.5000 0.5000 0.5000 1
Pb1 Pb 0.0000 0.5000 0.5000 1
# Distance to the lowest polymorph of the same formula, eV/atom: 0.000
# DFT formation energy, eV/atom: 0.617